(1)
Compound: TaHgCl3
Source: Alexandria via LeMat-Bulk
Functional: GGA-PBEsol
Structure: relaxed

Results
ΔE_f (raw) ... 0.870 eV per atom
Crystal system ... cubic
Final energy ... -14.79 eV/cell
Excess energy over the best structure of this formula in the dataset ... 7.188 eV per formula unit
M_tot ... 3.81 Bohr magnetons per cell
N(E_F) ... 1.597 states/eV per atom

CIF file:
```
data_TaHgCl3
_chemical_formula_sum 'Ta1 Hg1 Cl3'
_cell_length_a 5.117
_cell_length_b 5.117
_cell_length_c 5.117
_cell_angle_alpha 90.00
_cell_angle_beta 90.00
_cell_angle_gamma 90.00
_space_group_name_H-M_alt 'P m -3 m'
_space_group_IT_number 221
_space_group_name_Hall '-P 4 2 3'
loop_
_atom_site_label
_atom_site_fract_x
_atom_site_fract_y
_atom_site_fract_z
Ta1 0.000 0.000 0.000
Hg1 0.500 0.500 0.500
Cl1 0.000 0.500 0.500
```


(2)
Compound: Ce4SnO10
Source: Alexandria via LeMat-Bulk
Functional: GGA-PBEsol
Structure: relaxed

Results
ΔE_f (raw) ... -3.028 eV per atom
Crystal system ... orthorhombic
Final energy ... -257.12 eV/cell
Excess energy over the best structure of this formula in the dataset ... 0.300 eV per formula unit
M_tot ... 0.00 Bohr magnetons per cell

CIF file:
```
data_Ce4SnO10
_chemical_formula_sum 'Ce8 Sn2 O20'
_cell_length_a 3.775
_cell_length_b 5.346
_cell_length_c 18.935
_cell_angle_alpha 90.00
_cell_angle_beta 90.00
_cell_angle_gamma 90.00
_space_group_name_H-M_alt 'I m m m'
_space_group_IT_number 71
_space_group_name_Hall '-I 2 2'
loop_
_atom_site_label
_atom_site_fract_x
_atom_site_fract_y
_atom_site_fract_z
Ce1 0.000 0.000 0.098
Ce2 0.000 0.000 0.301
Sn1 0.000 0.000 0.500
O1 0.000 0.243 0.405
O2 0.000 0.249 0.199
O3 0.000 0.266 0.000
```


(3)
Compound: Sc2CdPd
Source: Alexandria via LeMat-Bulk
Functional: GGA-PBEsol
Structure: relaxed

Results
Crystal system ... trigonal
Formation energy from the elements ... -0.039 eV/atom
Final energy ... -61.57 eV/cell
M_tot ... 0.00 Bohr magnetons per cell
N(E_F) ... 0.942 states/eV per atom

CIF file:
```
data_Sc2CdPd
_chemical_formula_sum 'Sc6 Cd3 Pd3'
_cell_length_a 3.0752
_cell_length_b 3.0752
_cell_length_c 29.6469
_cell_angle_alpha 90.00
_cell_angle_beta 90.00
_cell_angle_gamma 120.00
_space_group_name_H-M_alt 'R -3 m'
_space_group_IT_number 166
_space_group_name_Hall '-R 3 2"'
loop_
_atom_site_label
_atom_site_fract_x
_atom_site_fract_y
_atom_site_fract_z
Sc1 0.0000 0.0000 0.0825
Cd1 0.0000 0.0000 0.5000
Pd1 0.0000 0.0000 0.0000
```


(4)
Compound: Tl3AsS4
Source: Alexandria via LeMat-Bulk
Functional: GGA-PBEsol
Structure: relaxed

Results
ΔE_f (raw) ... -0.261 eV per atom
Crystal system ... orthorhombic
Final energy ... -130.50 eV/cell
M_tot ... 0.00 Bohr magnetons per cell

CIF file:
```
data_Tl3AsS4
_chemical_formula_sum 'Tl12 As4 S16'
_cell_length_a 8.775
_cell_length_b 10.591
_cell_length_c 8.998
_cell_angle_alpha 90.00
_cell_angle_beta 90.00
_cell_angle_gamma 90.00
_space_group_name_H-M_alt 'P n m a'
_space_group_IT_number 62
loop_
_space_group_symop_operation_xyz
'x,y,z'
'-x,-y,-z'
'-x+1/2,-y,z+1/2'
'x+1/2,y,-z+1/2'
'x+1/2,-y+1/2,-z+1/2'
'-x+1/2,y+1/2,z+1/2'
'-x,y+1/2,-z'
'x,-y+1/2,z'
loop_
_atom_site_label
_atom_site_fract_x
_atom_site_fract_y
_atom_site_fract_z
Tl1 0.066 0.048 0.194
Tl2 0.112 0.750 0.390
As1 0.219 0.750 0.973
S1 0.010 0.250 0.930
S2 0.152 0.082 0.534
S3 0.191 0.750 0.729
```


(5)
Compound: Sr3BiI
Source: Alexandria via LeMat-Bulk
Functional: GGA-PBEsol
Structure: relaxed

Results
ΔE_f (raw) ... -0.522 eV per atom
Crystal system ... cubic
Final energy ... -14.18 eV/cell
M_tot ... 0.00 Bohr magnetons per cell
N(E_F) ... 0.766 states/eV per atom

CIF file:
```
data_Sr3BiI
_chemical_formula_sum 'Sr3 Bi1 I1'
_cell_length_a 6.361
_cell_length_b 6.361
_cell_length_c 6.361
_cell_angle_alpha 90.00
_cell_angle_beta 90.00
_cell_angle_gamma 90.00
_space_group_name_H-M_alt 'P m -3 m'
_space_group_IT_number 221
_space_group_name_Hall '-P 4 2 3'
loop_
_atom_site_label
_atom_site_fract_x
_atom_site_fract_y
_atom_site_fract_z
Sr1 0.000 0.000 0.500
Bi1 0.000 0.000 0.000
I1 0.500 0.500 0.500
```


(6)
Compound: LiMg2Pb
Source: Alexandria via LeMat-Bulk
Functional: GGA-PBEsol
Structure: relaxed

Results
Crystal system ... trigonal
Formation energy from the elements ... -0.022 eV/atom
Final energy ... -28.47 eV/cell
M_tot ... 0.00 Bohr magnetons per cell
N(E_F) ... 0.420 states/eV per atom

CIF file:
```
data_LiMg2Pb
_chemical_formula_sum 'Li3 Mg6 Pb3'
_cell_length_a 3.3198
_cell_length_b 3.3198
_cell_length_c 29.6331
_cell_angle_alpha 90.00
_cell_angle_beta 90.00
_cell_angle_gamma 120.00
_space_group_name_H-M_alt 'R -3 m'
_space_group_IT_number 166
_space_group_name_Hall '-R 3 2"'
loop_
_atom_site_label
_atom_site_fract_x
_atom_site_fract_y
_atom_site_fract_z
Li1 0.0000 0.0000 0.0000
Mg1 0.0000 0.0000 0.2532
Pb1 0.0000 0.0000 0.5000
```


(7)
Compound: Li2LaCo
Source: Alexandria via LeMat-Bulk
Functional: GGA-PBEsol
Structure: relaxed

Results
Crystal system ... orthorhombic
Formation energy from the elements ... 0.391 eV/atom
Final energy ... -30.91 eV/cell
Excess energy over the best structure of this formula in the dataset ... 0.870 eV per formula unit
M_tot ... 0.94 Bohr magnetons per cell
N(E_F) ... 0.923 states/eV per atom

CIF file:
```
data_Li2LaCo
_chemical_formula_sum 'Li4 La2 Co2'
_cell_length_a 5.042
_cell_length_b 9.288
_cell_length_c 2.971
_cell_angle_alpha 90.00
_cell_angle_beta 90.00
_cell_angle_gamma 90.00
_space_group_name_H-M_alt 'C m m m'
_space_group_IT_number 65
_space_group_name_Hall '-C 2 2'
loop_
_atom_site_label
_atom_site_fract_x
_atom_site_fract_y
_atom_site_fract_z
Li1 0.250 0.250 0.000
La1 0.000 0.000 0.500
Co1 0.000 0.500 0.500
```


(8)
Compound: LiBe4Ag
Source: Alexandria via LeMat-Bulk
Functional: GGA-PBEsol
Structure: relaxed

Results
Crystal system ... cubic
Formation energy from the elements ... -0.073 eV/atom
Final energy ... -86.87 eV/cell
M_tot ... 0.00 Bohr magnetons per cell
N(E_F) ... 0.193 states/eV per atom

CIF file:
```
data_LiBe4Ag
_chemical_formula_sum 'Li4 Be16 Ag4'
_cell_length_a 6.189
_cell_length_b 6.189
_cell_length_c 6.189
_cell_angle_alpha 90.00
_cell_angle_beta 90.00
_cell_angle_gamma 90.00
_space_group_name_H-M_alt 'F -4 3 m'
_space_group_IT_number 216
_space_group_name_Hall 'F -4 2 3'
loop_
_atom_site_label
_atom_site_fract_x
_atom_site_fract_y
_atom_site_fract_z
Li1 0.000 0.000 0.000
Be1 0.124 0.124 0.624
Ag1 0.250 0.250 0.250
```


(9)
Compound: MoPb2Br
Source: Alexandria via LeMat-Bulk
Functional: GGA-PBEsol
Structure: relaxed

Results
ΔE_f (raw) ... 0.537 eV per atom
Crystal system ... tetragonal
Final energy ... -19.49 eV/cell
Excess energy over the best structure of this formula in the dataset ... 0.711 eV per formula unit
M_tot ... 1.10 Bohr magnetons per cell
N(E_F) ... 0.839 states/eV per atom

CIF file:
```
data_MoPb2Br
_chemical_formula_sum 'Mo1 Pb2 Br1'
_cell_length_a 5.452
_cell_length_b 5.452
_cell_length_c 3.106
_cell_angle_alpha 90.00
_cell_angle_beta 90.00
_cell_angle_gamma 90.00
_space_group_name_H-M_alt 'P 4/m m m'
_space_group_IT_number 123
_space_group_name_Hall '-P 4 2'
loop_
_atom_site_label
_atom_site_fract_x
_atom_site_fract_y
_atom_site_fract_z
Mo1 0.000 0.000 0.000
Pb1 0.000 0.500 0.500
Br1 0.500 0.500 0.000
```


(10)
Compound: BaTa2Bi2O9
Source: Alexandria via LeMat-Bulk
Functional: GGA-PBEsol
Structure: relaxed

Results
ΔE_f (raw) ... -2.372 eV per atom
Crystal system ... tetragonal
Final energy ... -232.54 eV/cell
M_tot ... 0.00 Bohr magnetons per cell
N(E_F) ... 0.000 states/eV per atom

CIF file:
```
data_BaTa2Bi2O9
_chemical_formula_sum 'Ba2 Ta4 Bi4 O18'
_cell_length_a 3.934
_cell_length_b 3.934
_cell_length_c 24.599
_cell_angle_alpha 90.00
_cell_angle_beta 90.00
_cell_angle_gamma 90.00
_space_group_name_H-M_alt 'I 4/m m m'
_space_group_IT_number 139
_space_group_name_Hall '-I 4 2'
loop_
_atom_site_label
_atom_site_fract_x
_atom_site_fract_y
_atom_site_fract_z
Ba1 0.000 0.000 0.000
Ta1 0.000 0.000 0.411
Bi1 0.000 0.000 0.201
O1 0.000 0.000 0.335
O2 0.000 0.000 0.500
O3 0.000 0.500 0.082
O4 0.000 0.500 0.250
```


Please write out number 6 again, unchanged.
Compound: LiMg2Pb
Source: Alexandria via LeMat-Bulk
Functional: GGA-PBEsol
Structure: relaxed

Results
Crystal system ... trigonal
Formation energy from the elements ... -0.022 eV/atom
Final energy ... -28.47 eV/cell
M_tot ... 0.00 Bohr magnetons per cell
N(E_F) ... 0.420 states/eV per atom

CIF file:
```
data_LiMg2Pb
_chemical_formula_sum 'Li3 Mg6 Pb3'
_cell_length_a 3.3198
_cell_length_b 3.3198
_cell_length_c 29.6331
_cell_angle_alpha 90.00
_cell_angle_beta 90.00
_cell_angle_gamma 120.00
_space_group_name_H-M_alt 'R -3 m'
_space_group_IT_number 166
_space_group_name_Hall '-R 3 2"'
loop_
_atom_site_label
_atom_site_fract_x
_atom_site_fract_y
_atom_site_fract_z
Li1 0.0000 0.0000 0.0000
Mg1 0.0000 0.0000 0.2532
Pb1 0.0000 0.0000 0.5000
```


Repeat the seventh record exactly.
Compound: Li2LaCo
Source: Alexandria via LeMat-Bulk
Functional: GGA-PBEsol
Structure: relaxed

Results
Crystal system ... orthorhombic
Formation energy from the elements ... 0.391 eV/atom
Final energy ... -30.91 eV/cell
Excess energy over the best structure of this formula in the dataset ... 0.870 eV per formula unit
M_tot ... 0.94 Bohr magnetons per cell
N(E_F) ... 0.923 states/eV per atom

CIF file:
```
data_Li2LaCo
_chemical_formula_sum 'Li4 La2 Co2'
_cell_length_a 5.042
_cell_length_b 9.288
_cell_length_c 2.971
_cell_angle_alpha 90.00
_cell_angle_beta 90.00
_cell_angle_gamma 90.00
_space_group_name_H-M_alt 'C m m m'
_space_group_IT_number 65
_space_group_name_Hall '-C 2 2'
loop_
_atom_site_label
_atom_site_fract_x
_atom_site_fract_y
_atom_site_fract_z
Li1 0.250 0.250 0.000
La1 0.000 0.000 0.500
Co1 0.000 0.500 0.500
```


Please write out number 7 again, unchanged.
Compound: Li2LaCo
Source: Alexandria via LeMat-Bulk
Functional: GGA-PBEsol
Structure: relaxed

Results
Crystal system ... orthorhombic
Formation energy from the elements ... 0.391 eV/atom
Final energy ... -30.91 eV/cell
Excess energy over the best structure of this formula in the dataset ... 0.870 eV per formula unit
M_tot ... 0.94 Bohr magnetons per cell
N(E_F) ... 0.923 states/eV per atom

CIF file:
```
data_Li2LaCo
_chemical_formula_sum 'Li4 La2 Co2'
_cell_length_a 5.042
_cell_length_b 9.288
_cell_length_c 2.971
_cell_angle_alpha 90.00
_cell_angle_beta 90.00
_cell_angle_gamma 90.00
_space_group_name_H-M_alt 'C m m m'
_space_group_IT_number 65
_space_group_name_Hall '-C 2 2'
loop_
_atom_site_label
_atom_site_fract_x
_atom_site_fract_y
_atom_site_fract_z
Li1 0.250 0.250 0.000
La1 0.000 0.000 0.500
Co1 0.000 0.500 0.500
```